1.
Compound: NdAl3B4O12
Source: Alexandria via LeMat-Bulk
Functional: GGA-PBEsol
Structure: optimized geometry

Lattice parameters (Å, degrees): 5.9217 5.9217 5.9217 104.37 104.37 104.37
Last column: nearest neighbours and their distance in Å.
Sites, in units of the cell vectors:
Nd1 0.0000 0.0000 0.0000  6 O 2.37
Al1 0.0000 0.4438 0.5562  6 O 1.85-1.94
Al2 0.4438 0.5562 0.0000  6 O 1.85-1.94
Al3 0.5562 0.0000 0.4438  6 O 1.85-1.94
B1 0.0584 0.9416 0.5000  3 O 1.37-1.39
B2 0.5000 0.0584 0.9416  3 O 1.37-1.39
B3 0.5000 0.5000 0.5000  3 O 1.39
B4 0.9416 0.5000 0.0584  3 O 1.37-1.39
O1 0.0276 0.7741 0.6220  1 B 1.37
O2 0.0905 0.5000 0.9095  1 B 1.39
O3 0.2259 0.9724 0.3780  1 B 1.37
O4 0.3511 0.5000 0.6489  1 B 1.39
O5 0.3780 0.2259 0.9724  1 B 1.37
O6 0.5000 0.6489 0.3511  1 B 1.39
O7 0.5000 0.9095 0.0905  1 B 1.39
O8 0.6220 0.0276 0.7741  1 B 1.37
O9 0.6489 0.3511 0.5000  1 B 1.39
O10 0.7741 0.6220 0.0276  1 B 1.37
O11 0.9095 0.0905 0.5000  1 B 1.39
O12 0.9724 0.3780 0.2259  1 B 1.37

Calculated values
- mass density (g cm⁻³) = 4.2
- E (Ry per atom) = -0.60893
- crystal system = trigonal
- total magnetization (μB/f.u.) = 0.0
- formation energy without anion corrections (meV/atom) = -2860

---

2.
Compound: Al3Ni20B6
Source: Alexandria via LeMat-Bulk
Functional: GGA-PBEsol
Structure: optimized geometry

Lattice parameters (Å, degrees): 7.3233 7.3233 7.3233 60.00 60.00 60.00
Last column: nearest neighbours and their distance in Å.
Sites, in units of the cell vectors:
Al1 0.0000 0.0000 0.0000  12 Ni 2.48
Al2 0.2500 0.2500 0.2500  4 Ni 2.38
Al3 0.7500 0.7500 0.7500  4 Ni 2.38
Ni1 0.0000 0.0000 0.3386  2 B 2.06
Ni2 0.0000 0.0000 0.6614  2 B 2.06
Ni3 0.0000 0.3386 0.0000  2 B 2.06
Ni4 0.0000 0.3386 0.6614  2 B 2.06
Ni5 0.0000 0.6614 0.0000  2 B 2.06
Ni6 0.0000 0.6614 0.3386  2 B 2.06
Ni7 0.1474 0.6175 0.6175  3 B 2.06
Ni8 0.3386 0.0000 0.0000  2 B 2.06
Ni9 0.3386 0.0000 0.6614  2 B 2.06
Ni10 0.3386 0.6614 0.0000  2 B 2.06
Ni11 0.3825 0.3825 0.3825  3 B 2.06
Ni12 0.3825 0.3825 0.8526  3 B 2.06
Ni13 0.3825 0.8526 0.3825  3 B 2.06
Ni14 0.6175 0.1474 0.6175  3 B 2.06
Ni15 0.6175 0.6175 0.1474  3 B 2.06
Ni16 0.6175 0.6175 0.6175  3 B 2.06
Ni17 0.6614 0.0000 0.0000  2 B 2.06
Ni18 0.6614 0.0000 0.3386  2 B 2.06
Ni19 0.6614 0.3386 0.0000  2 B 2.06
Ni20 0.8526 0.3825 0.3825  3 B 2.06
B1 0.2736 0.2736 0.7264  8 Ni 2.06
B2 0.2736 0.7264 0.2736  8 Ni 2.06
B3 0.2736 0.7264 0.7264  8 Ni 2.06
B4 0.7264 0.2736 0.2736  8 Ni 2.06
B5 0.7264 0.2736 0.7264  8 Ni 2.06
B6 0.7264 0.7264 0.2736  8 Ni 2.06

Calculated values
- mass density (g cm⁻³) = 7.9
- E (Ry per atom) = -0.48282
- crystal system = cubic
- total magnetization (μB/f.u.) = 0.0
- calculated formation energy (eV per atom) = -0.45

---

3.
Compound: AlNi20B14
Source: Alexandria via LeMat-Bulk
Functional: GGA-PBEsol
Structure: optimized geometry

Lattice parameters (Å, degrees): 7.4640 7.4640 7.4640 60.00 60.00 60.00
Last column: nearest neighbours and their distance in Å.
Sites, in units of the cell vectors:
Al1 0.0000 0.0000 0.0000  12 Ni 2.50
Ni1 0.0000 0.0000 0.3345  4 B 2.03-2.11
Ni2 0.0000 0.0000 0.6655  4 B 2.03-2.11
Ni3 0.0000 0.3345 0.0000  4 B 2.03-2.11
Ni4 0.0000 0.3345 0.6655  4 B 2.03-2.11
Ni5 0.0000 0.6655 0.0000  4 B 2.03-2.11
Ni6 0.0000 0.6655 0.3345  4 B 2.03-2.11
Ni7 0.1354 0.6215 0.6215  6 B 2.11-2.24
Ni8 0.3345 0.0000 0.0000  4 B 2.03-2.11
Ni9 0.3345 0.0000 0.6655  4 B 2.03-2.11
Ni10 0.3345 0.6655 0.0000  4 B 2.03-2.11
Ni11 0.3785 0.3785 0.3785  6 B 2.11-2.24
Ni12 0.3785 0.3785 0.8646  6 B 2.11-2.24
Ni13 0.3785 0.8646 0.3785  6 B 2.11-2.24
Ni14 0.6215 0.1354 0.6215  6 B 2.11-2.24
Ni15 0.6215 0.6215 0.1354  6 B 2.11-2.24
Ni16 0.6215 0.6215 0.6215  6 B 2.11-2.24
Ni17 0.6655 0.0000 0.0000  4 B 2.03-2.11
Ni18 0.6655 0.0000 0.3345  4 B 2.03-2.11
Ni19 0.6655 0.3345 0.0000  4 B 2.03-2.11
Ni20 0.8646 0.3785 0.3785  6 B 2.11-2.24
B1 0.1894 0.1894 0.1894  3 B 1.81
B2 0.1894 0.1894 0.4317  3 B 1.81
B3 0.1894 0.4317 0.1894  3 B 1.81
B4 0.2762 0.2762 0.7238  8 Ni 2.11
B5 0.2762 0.7238 0.2762  8 Ni 2.11
B6 0.2762 0.7238 0.7238  8 Ni 2.11
B7 0.4317 0.1894 0.1894  3 B 1.81
B8 0.5683 0.8106 0.8106  3 B 1.81
B9 0.7238 0.2762 0.2762  8 Ni 2.11
B10 0.7238 0.2762 0.7238  8 Ni 2.11
B11 0.7238 0.7238 0.2762  8 Ni 2.11
B12 0.8106 0.5683 0.8106  3 B 1.81
B13 0.8106 0.8106 0.5683  3 B 1.81
B14 0.8106 0.8106 0.8106  3 B 1.81

Calculated values
- mass density (g cm⁻³) = 7.6
- E (Ry per atom) = -0.49887
- crystal system = cubic
- total magnetization (μB/f.u.) = 0.0
- calculated formation energy (eV per atom) = -0.35

---

4.
Compound: Al3NiB
Source: Alexandria via LeMat-Bulk
Functional: GGA-PBEsol
Structure: optimized geometry

Lattice parameters (Å, degrees): 4.0520 4.0520 4.0520 90.00 90.00 90.00
Last column: nearest neighbours and their distance in Å.
Sites, in units of the cell vectors:
Al1 0.0000 0.0000 0.5000  2 B 2.03
Al2 0.0000 0.5000 0.0000  2 B 2.03
Al3 0.5000 0.0000 0.0000  2 B 2.03
Ni1 0.5000 0.5000 0.5000  12 Al 2.87
B1 0.0000 0.0000 0.0000  6 Al 2.03

Calculated values
- mass density (g cm⁻³) = 3.8
- E (Ry per atom) = -0.35315
- crystal system = cubic
- total magnetization (μB/f.u.) = 0.0
- calculated formation energy (eV per atom) = 0.28

---

5.
Compound: AlNi9B8
Source: Alexandria via LeMat-Bulk
Functional: GGA-PBEsol
Structure: optimized geometry

Lattice parameters (Å, degrees): 5.3349 5.3349 10.6693 90.00 90.00 97.01
Last column: nearest neighbours and their distance in Å.
Sites, in units of the cell vectors:
Al1 0.0866 0.9134 0.7500  8 Ni 2.43-2.62
Al2 0.9134 0.0866 0.2500  8 Ni 2.43-2.62
Ni1 0.0000 0.0000 0.0000  6 B 2.10-2.17
Ni2 0.0000 0.0000 0.5000  6 B 2.10-2.17
Ni3 0.0506 0.3949 0.7500  6 B 2.12-2.14
Ni4 0.2394 0.3782 0.1147  6 B 2.06-2.27
Ni5 0.2394 0.3782 0.3853  6 B 2.06-2.27
Ni6 0.2895 0.7105 0.5801  6 B 2.08-2.27
Ni7 0.2895 0.7105 0.9199  6 B 2.08-2.27
Ni8 0.3782 0.2394 0.6147  6 B 2.06-2.27
Ni9 0.3782 0.2394 0.8853  6 B 2.06-2.27
Ni10 0.3949 0.0506 0.2500  6 B 2.12-2.14
Ni11 0.6051 0.9494 0.7500  6 B 2.12-2.14
Ni12 0.6218 0.7606 0.1147  6 B 2.06-2.27
Ni13 0.6218 0.7606 0.3853  6 B 2.06-2.27
Ni14 0.7105 0.2895 0.0801  6 B 2.08-2.27
Ni15 0.7105 0.2895 0.4199  6 B 2.08-2.27
Ni16 0.7606 0.6218 0.6147  6 B 2.06-2.27
Ni17 0.7606 0.6218 0.8853  6 B 2.06-2.27
Ni18 0.9494 0.6051 0.2500  6 B 2.12-2.14
B1 0.0435 0.3823 0.5515  2 B 1.72-1.77
B2 0.0435 0.3823 0.9485  2 B 1.72-1.77
B3 0.2189 0.7811 0.1202  3 B 1.72-1.75
B4 0.2189 0.7811 0.3798  3 B 1.72-1.75
B5 0.3536 0.6464 0.2500  3 B 1.73-1.75
B6 0.3823 0.0435 0.0515  2 B 1.72-1.77
B7 0.3823 0.0435 0.4485  2 B 1.72-1.77
B8 0.4295 0.5705 0.7500  1 B 1.73
B9 0.5705 0.4295 0.2500  1 B 1.73
B10 0.6177 0.9565 0.5515  2 B 1.72-1.77
B11 0.6177 0.9565 0.9485  2 B 1.72-1.77
B12 0.6464 0.3536 0.7500  3 B 1.73-1.75
B13 0.7811 0.2189 0.6202  3 B 1.72-1.75
B14 0.7811 0.2189 0.8798  3 B 1.72-1.75
B15 0.9565 0.6177 0.0515  2 B 1.72-1.77
B16 0.9565 0.6177 0.4485  2 B 1.72-1.77

Calculated values
- mass density (g cm⁻³) = 7.1
- E (Ry per atom) = -0.49766
- crystal system = orthorhombic
- total magnetization (μB/f.u.) = 0.0
- calculated formation energy (eV per atom) = -0.35

---

6.
Compound: AlB2O
Source: Alexandria via LeMat-Bulk
Functional: GGA-PBEsol
Structure: optimized geometry

Lattice parameters (Å, degrees): 5.8514 5.8514 5.8514 142.19 142.19 54.54
Last column: nearest neighbours and their distance in Å.
Sites, in units of the cell vectors:
Al1 0.0000 0.0000 0.0000  4 B 2.29
Al2 0.7500 0.2500 0.5000  4 B 2.29
B1 0.3038 0.6250 0.1788  2 O 1.63
B2 0.3750 0.5538 0.6788  2 O 1.63
B3 0.4462 0.1250 0.8212  2 O 1.63
B4 0.8750 0.6962 0.3212  2 O 1.63
O1 0.2500 0.7500 0.5000  4 B 1.63
O2 0.5000 0.5000 0.0000  4 B 1.63

Calculated values
- mass density (g cm⁻³) = 2.9
- E (Ry per atom) = -0.41239
- crystal system = tetragonal
- total magnetization (μB/f.u.) = 0.0
- formation energy without anion corrections (meV/atom) = 233

---

7.
Compound: PrAl3B4O12
Source: Alexandria via LeMat-Bulk
Functional: GGA-PBEsol
Structure: optimized geometry

Lattice parameters (Å, degrees): 5.9834 5.9834 11.2705 98.35 98.35 104.25
Last column: nearest neighbours and their distance in Å.
Sites, in units of the cell vectors:
Pr1 0.0377 0.9623 0.7500  6 O 2.40-2.45
Pr2 0.9623 0.0377 0.2500  6 O 2.40-2.45
Al1 0.1955 0.6940 0.4716  6 O 1.86-1.99
Al2 0.3060 0.8045 0.0284  6 O 1.86-1.99
Al3 0.4107 0.5893 0.2500  6 O 1.87-1.97
Al4 0.5893 0.4107 0.7500  6 O 1.87-1.97
Al5 0.6940 0.1955 0.9716  6 O 1.86-1.99
Al6 0.8045 0.3060 0.5284  6 O 1.86-1.99
B1 0.1226 0.4917 0.7779  3 O 1.37-1.40
B2 0.2228 0.2809 0.0059  3 O 1.38-1.40
B3 0.2809 0.2228 0.5059  3 O 1.38-1.40
B4 0.4917 0.1226 0.2779  3 O 1.37-1.40
B5 0.5083 0.8774 0.7221  3 O 1.37-1.40
B6 0.7191 0.7772 0.4941  3 O 1.38-1.40
B7 0.7772 0.7191 0.9941  3 O 1.38-1.40
B8 0.8774 0.5083 0.2221  3 O 1.37-1.40
O1 0.0033 0.8050 0.0604  1 B 1.38
O2 0.1024 0.5775 0.2946  1 B 1.40
O3 0.1301 0.3682 0.4957  1 B 1.40
O4 0.1825 0.6942 0.8632  1 B 1.37
O5 0.1950 0.9967 0.4396  1 B 1.38
O6 0.2712 0.3548 0.7571  1 B 1.37
O7 0.3034 0.5072 0.0746  1 B 1.39
O8 0.3058 0.8175 0.6368  1 B 1.37
O9 0.3548 0.2712 0.2571  1 B 1.37
O10 0.3682 0.1301 0.9957  1 B 1.40
O11 0.4225 0.8976 0.2054  1 B 1.40
O12 0.4928 0.6966 0.4254  1 B 1.39
O13 0.5072 0.3034 0.5746  1 B 1.39
O14 0.5775 0.1024 0.7946  1 B 1.40
O15 0.6318 0.8699 0.0043  1 B 1.40
O16 0.6452 0.7288 0.7429  1 B 1.37
O17 0.6942 0.1825 0.3632  1 B 1.37
O18 0.6966 0.4928 0.9254  1 B 1.39
O19 0.7288 0.6452 0.2429  1 B 1.37
O20 0.8050 0.0033 0.5604  1 B 1.38
O21 0.8175 0.3058 0.1368  1 B 1.37
O22 0.8699 0.6318 0.5043  1 B 1.40
O23 0.8976 0.4225 0.7054  1 B 1.40
O24 0.9967 0.1950 0.9396  1 B 1.38

Calculated values
- mass density (g cm⁻³) = 4.0
- E (Ry per atom) = -0.60870
- crystal system = monoclinic
- total magnetization (μB/f.u.) = 0.0
- formation energy without anion corrections (meV/atom) = -2856

---

8.
Compound: Rb2Al2B2O7
Source: Alexandria via LeMat-Bulk
Functional: GGA-PBEsol
Structure: optimized geometry

Lattice parameters (Å, degrees): 8.8763 7.5505 11.9568 90.00 104.51 90.00
Last column: nearest neighbours and their distance in Å.
Sites, in units of the cell vectors:
Rb1 0.0371 0.1377 0.1252  7 O 2.77-3.04
Rb2 0.0371 0.3623 0.6252  7 O 2.77-3.04
Rb3 0.4544 0.6319 0.8503  5 O 2.92-3.04
Rb4 0.4544 0.8681 0.3503  5 O 2.92-3.04
Rb5 0.5456 0.1319 0.6497  5 O 2.92-3.04
Rb6 0.5456 0.3681 0.1497  5 O 2.92-3.04
Rb7 0.9629 0.6377 0.3748  7 O 2.77-3.04
Rb8 0.9629 0.8623 0.8748  7 O 2.77-3.04
Al1 0.1865 0.5784 0.1352  4 O 1.73-1.77
Al2 0.1865 0.9216 0.6352  4 O 1.73-1.77
Al3 0.3442 0.1256 0.8794  4 O 1.74-1.77
Al4 0.3442 0.3744 0.3794  4 O 1.74-1.77
Al5 0.6558 0.6256 0.6206  4 O 1.74-1.77
Al6 0.6558 0.8744 0.1206  4 O 1.74-1.77
Al7 0.8135 0.0784 0.3648  4 O 1.73-1.77
Al8 0.8135 0.4216 0.8648  4 O 1.73-1.77
B1 0.1551 0.0878 0.4094  3 O 1.37-1.38
B2 0.1551 0.4122 0.9094  3 O 1.37-1.38
B3 0.3137 0.6181 0.5581  3 O 1.37-1.39
B4 0.3137 0.8819 0.0581  3 O 1.37-1.39
B5 0.6863 0.1181 0.9419  3 O 1.37-1.39
B6 0.6863 0.3819 0.4419  3 O 1.37-1.39
B7 0.8449 0.5878 0.0906  3 O 1.37-1.38
B8 0.8449 0.9122 0.5906  3 O 1.37-1.38
O1 0.0054 0.0345 0.3576  1 B 1.38
O2 0.0054 0.4655 0.8576  1 B 1.38
O3 0.1990 0.6939 0.6027  1 B 1.39
O4 0.1990 0.8061 0.1027  1 B 1.39
O5 0.2284 0.0469 0.5217  1 B 1.37
O6 0.2284 0.4531 0.0217  1 B 1.37
O7 0.2372 0.1768 0.3428  1 B 1.38
O8 0.2372 0.3232 0.8428  1 B 1.38
O9 0.2737 0.0315 0.9919  1 B 1.37
O10 0.2737 0.4685 0.4919  1 B 1.37
O11 0.3173 0.5189 0.2632  2 Al 1.73-1.74
O12 0.3173 0.9811 0.7632  2 Al 1.73-1.74
O13 0.4594 0.6929 0.5800  1 B 1.38
O14 0.4594 0.8071 0.0800  1 B 1.38
O15 0.5406 0.1929 0.9200  1 B 1.38
O16 0.5406 0.3071 0.4200  1 B 1.38
O17 0.6827 0.0189 0.2368  2 Al 1.73-1.74
O18 0.6827 0.4811 0.7368  2 Al 1.73-1.74
O19 0.7263 0.5315 0.5081  1 B 1.37
O20 0.7263 0.9685 0.0081  1 B 1.37
O21 0.7628 0.6768 0.1572  1 B 1.38
O22 0.7628 0.8232 0.6572  1 B 1.38
O23 0.7716 0.5469 0.9783  1 B 1.37
O24 0.7716 0.9531 0.4783  1 B 1.37
O25 0.8010 0.1939 0.8973  1 B 1.39
O26 0.8010 0.3061 0.3973  1 B 1.39
O27 0.9946 0.5345 0.1424  1 B 1.38
O28 0.9946 0.9655 0.6424  1 B 1.38

Calculated values
- mass density (g cm⁻³) = 3.1
- E (Ry per atom) = -0.53604
- crystal system = monoclinic
- total magnetization (μB/f.u.) = 0.0
- formation energy without anion corrections (meV/atom) = -2600

---

Please write out number 7 again, unchanged.
Compound: PrAl3B4O12
Source: Alexandria via LeMat-Bulk
Functional: GGA-PBEsol
Structure: optimized geometry

Lattice parameters (Å, degrees): 5.9834 5.9834 11.2705 98.35 98.35 104.25
Last column: nearest neighbours and their distance in Å.
Sites, in units of the cell vectors:
Pr1 0.0377 0.9623 0.7500  6 O 2.40-2.45
Pr2 0.9623 0.0377 0.2500  6 O 2.40-2.45
Al1 0.1955 0.6940 0.4716  6 O 1.86-1.99
Al2 0.3060 0.8045 0.0284  6 O 1.86-1.99
Al3 0.4107 0.5893 0.2500  6 O 1.87-1.97
Al4 0.5893 0.4107 0.7500  6 O 1.87-1.97
Al5 0.6940 0.1955 0.9716  6 O 1.86-1.99
Al6 0.8045 0.3060 0.5284  6 O 1.86-1.99
B1 0.1226 0.4917 0.7779  3 O 1.37-1.40
B2 0.2228 0.2809 0.0059  3 O 1.38-1.40
B3 0.2809 0.2228 0.5059  3 O 1.38-1.40
B4 0.4917 0.1226 0.2779  3 O 1.37-1.40
B5 0.5083 0.8774 0.7221  3 O 1.37-1.40
B6 0.7191 0.7772 0.4941  3 O 1.38-1.40
B7 0.7772 0.7191 0.9941  3 O 1.38-1.40
B8 0.8774 0.5083 0.2221  3 O 1.37-1.40
O1 0.0033 0.8050 0.0604  1 B 1.38
O2 0.1024 0.5775 0.2946  1 B 1.40
O3 0.1301 0.3682 0.4957  1 B 1.40
O4 0.1825 0.6942 0.8632  1 B 1.37
O5 0.1950 0.9967 0.4396  1 B 1.38
O6 0.2712 0.3548 0.7571  1 B 1.37
O7 0.3034 0.5072 0.0746  1 B 1.39
O8 0.3058 0.8175 0.6368  1 B 1.37
O9 0.3548 0.2712 0.2571  1 B 1.37
O10 0.3682 0.1301 0.9957  1 B 1.40
O11 0.4225 0.8976 0.2054  1 B 1.40
O12 0.4928 0.6966 0.4254  1 B 1.39
O13 0.5072 0.3034 0.5746  1 B 1.39
O14 0.5775 0.1024 0.7946  1 B 1.40
O15 0.6318 0.8699 0.0043  1 B 1.40
O16 0.6452 0.7288 0.7429  1 B 1.37
O17 0.6942 0.1825 0.3632  1 B 1.37
O18 0.6966 0.4928 0.9254  1 B 1.39
O19 0.7288 0.6452 0.2429  1 B 1.37
O20 0.8050 0.0033 0.5604  1 B 1.38
O21 0.8175 0.3058 0.1368  1 B 1.37
O22 0.8699 0.6318 0.5043  1 B 1.40
O23 0.8976 0.4225 0.7054  1 B 1.40
O24 0.9967 0.1950 0.9396  1 B 1.38

Calculated values
- mass density (g cm⁻³) = 4.0
- E (Ry per atom) = -0.60870
- crystal system = monoclinic
- total magnetization (μB/f.u.) = 0.0
- formation energy without anion corrections (meV/atom) = -2856

---

Look up the E of the third one. -0.49887 Ry per atom